No. 1
# BeSe2SN, relaxed, DFT GGA-PBE
# Raw formation energy: 1.139 eV per atom
# Energy relative to the lowest polymorph listed for this composition: 422 meV/atom
data_BeSe2SN
_cell_length_a 5.051
_cell_length_b 5.051
_cell_length_c 3.289
_cell_angle_alpha 90.00
_cell_angle_beta 90.00
_cell_angle_gamma 90.00
_space_group_name_H-M_alt 'P 4/m m m'
_space_group_IT_number 123
_space_group_name_Hall '-P 4 2'
loop_
_atom_site_label
_atom_site_type_symbol
_atom_site_fract_x
_atom_site_fract_y
_atom_site_fract_z
Be1 Be 0.000 0.000 0.000
Se1 Se 0.000 0.500 0.500
S1 S 0.500 0.500 0.500
N1 N 0.500 0.500 0.000


No. 2
# Hf2CF, relaxed, DFT GGA-PBE
# Raw formation energy: -0.680 eV per atom
# Energy relative to the lowest polymorph listed for this composition: 246 meV/atom
data_Hf2CF
_cell_length_a 5.832
_cell_length_b 5.832
_cell_length_c 5.832
_cell_angle_alpha 90.00
_cell_angle_beta 90.00
_cell_angle_gamma 90.00
_space_group_name_H-M_alt 'F m -3 m'
_space_group_IT_number 225
_space_group_name_Hall '-F 4 2 3'
loop_
_atom_site_label
_atom_site_type_symbol
_atom_site_fract_x
_atom_site_fract_y
_atom_site_fract_z
Hf1 Hf 0.250 0.250 0.250
C1 C 0.000 0.000 0.000
F1 F 0.000 0.000 0.500


No. 3
# NbZnAu2N, relaxed, DFT GGA-PBE
# Raw formation energy: 1.886 eV per atom
data_NbZnAu2N
_cell_length_a 4.612
_cell_length_b 4.612
_cell_length_c 4.936
_cell_angle_alpha 90.00
_cell_angle_beta 90.00
_cell_angle_gamma 90.00
_space_group_name_H-M_alt 'P 4/m m m'
_space_group_IT_number 123
_space_group_name_Hall '-P 4 2'
loop_
_atom_site_label
_atom_site_type_symbol
_atom_site_fract_x
_atom_site_fract_y
_atom_site_fract_z
Nb1 Nb 0.000 0.000 0.000
Zn1 Zn 0.000 0.000 0.500
Au1 Au 0.000 0.500 0.500
N1 N 0.500 0.500 0.000


No. 4
# Ac3SnRh4, relaxed, DFT GGA-PBE
# Formation enthalpy at 0 K: -0.6194 eV per atom
data_Ac3SnRh4
_cell_length_a 4.343
_cell_length_b 6.054
_cell_length_c 16.094
_cell_angle_alpha 90.00
_cell_angle_beta 90.00
_cell_angle_gamma 90.00
_space_group_name_H-M_alt 'I m m m'
_space_group_IT_number 71
_space_group_name_Hall '-I 2 2'
loop_
_atom_site_label
_atom_site_type_symbol
_atom_site_fract_x
_atom_site_fract_y
_atom_site_fract_z
Ac1 Ac 0.000 0.000 0.000
Ac2 Ac 0.000 0.500 0.193
Sn1 Sn 0.000 0.000 0.500
Rh1 Rh 0.000 0.282 0.378


No. 5
# IrBr, relaxed, DFT GGA-PBE
# Raw formation energy: 0.751 eV per atom
# Energy relative to the lowest polymorph listed for this composition: 485 meV/atom
data_IrBr
_cell_length_a 10.198
_cell_length_b 4.493
_cell_length_c 5.372
_cell_angle_alpha 90.00
_cell_angle_beta 90.00
_cell_angle_gamma 90.00
_space_group_name_H-M_alt 'P m n 21'
_space_group_IT_number 31
loop_
_space_group_symop_operation_xyz
'x,y,z'
'-x+1/2,-y,z+1/2'
'-x,y,z'
'x+1/2,-y,z+1/2'
loop_
_atom_site_label
_atom_site_type_symbol
_atom_site_fract_x
_atom_site_fract_y
_atom_site_fract_z
Ir1 Ir 0.000 0.237 0.000
Ir2 Ir 0.221 0.451 0.804
Br1 Br 0.000 0.734 0.811
Br2 Br 0.161 0.037 0.328


No. 6
# CuRe2Ir, relaxed, DFT GGA-PBE
# Formation enthalpy at 0 K: 0.2657 eV per atom
# Energy relative to the lowest polymorph listed for this composition: 173 meV/atom
data_CuRe2Ir
_cell_length_a 6.130
_cell_length_b 6.130
_cell_length_c 6.130
_cell_angle_alpha 90.00
_cell_angle_beta 90.00
_cell_angle_gamma 90.00
_space_group_name_H-M_alt 'F -4 3 m'
_space_group_IT_number 216
_space_group_name_Hall 'F -4 2 3'
loop_
_atom_site_label
_atom_site_type_symbol
_atom_site_fract_x
_atom_site_fract_y
_atom_site_fract_z
Cu1 Cu 0.000 0.000 0.000
Re1 Re 0.000 0.000 0.500
Re2 Re 0.250 0.250 0.750
Ir1 Ir 0.250 0.250 0.250


No. 7
# Ca12SnPt6, relaxed, DFT GGA-PBE
# Formation enthalpy at 0 K: -0.6897 eV per atom
data_Ca12SnPt6
_cell_length_a 10.248
_cell_length_b 10.248
_cell_length_c 10.248
_cell_angle_alpha 90.00
_cell_angle_beta 90.00
_cell_angle_gamma 90.00
_space_group_name_H-M_alt 'I m -3'
_space_group_IT_number 204
_space_group_name_Hall '-I 2 2 3'
loop_
_atom_site_label
_atom_site_type_symbol
_atom_site_fract_x
_atom_site_fract_y
_atom_site_fract_z
Ca1 Ca 0.000 0.305 0.180
Sn1 Sn 0.000 0.000 0.000
Pt1 Pt 0.000 0.131 0.500


No. 8
# Mn2CdIn2, relaxed, DFT GGA-PBE
# Formation enthalpy at 0 K: 0.2649 eV per atom
data_Mn2CdIn2
_cell_length_a 7.895
_cell_length_b 7.895
_cell_length_c 3.105
_cell_angle_alpha 90.00
_cell_angle_beta 90.00
_cell_angle_gamma 90.00
_space_group_name_H-M_alt 'P 4/m b m'
_space_group_IT_number 127
_space_group_name_Hall '-P 4 2ab'
loop_
_atom_site_label
_atom_site_type_symbol
_atom_site_fract_x
_atom_site_fract_y
_atom_site_fract_z
Mn1 Mn 0.118 0.382 0.000
Cd1 Cd 0.000 0.000 0.000
In1 In 0.178 0.678 0.500


No. 9
# PmTm2Th3, relaxed, DFT GGA-PBE
# Formation enthalpy at 0 K: 0.0470 eV per atom
data_PmTm2Th3
_cell_length_a 17.457
_cell_length_b 7.089
_cell_length_c 6.190
_cell_angle_alpha 90.00
_cell_angle_beta 90.02
_cell_angle_gamma 90.00
_space_group_name_H-M_alt 'C 1 2/c 1'
_space_group_IT_number 15
loop_
_space_group_symop_operation_xyz
'x,y,z'
'-x,-y,-z'
'-x,y,-z+1/2'
'x,-y,z+1/2'
'x+1/2,y+1/2,z'
'-x+1/2,-y+1/2,-z'
'-x+1/2,y+1/2,-z+1/2'
'x+1/2,-y+1/2,z+1/2'
loop_
_atom_site_label
_atom_site_type_symbol
_atom_site_fract_x
_atom_site_fract_y
_atom_site_fract_z
Pm1 Pm 0.000 0.131 0.250
Tm1 Tm 0.169 0.126 0.583
Th1 Th 0.000 0.379 0.750
Th2 Th 0.167 0.380 0.082


No. 10
# Rh4C5, relaxed, DFT GGA-PBE
# Formation enthalpy at 0 K: 1.4883 eV per atom
# Energy relative to the lowest polymorph listed for this composition: 685 meV/atom
data_Rh4C5
_cell_length_a 5.9895
_cell_length_b 5.9895
_cell_length_c 5.9467
_cell_angle_alpha 90.00
_cell_angle_beta 90.00
_cell_angle_gamma 120.00
_space_group_name_H-M_alt 'P 63/m c m'
_space_group_IT_number 193
_space_group_name_Hall '-P 6c 2'
loop_
_atom_site_label
_atom_site_type_symbol
_atom_site_fract_x
_atom_site_fract_y
_atom_site_fract_z
Rh1 Rh 0.0000 0.0000 0.0000
Rh2 Rh 0.0000 0.4230 0.2500
C1 C 0.0000 0.2528 0.7500
C2 C 0.3333 0.6667 0.0000


For the records above, the corresponding calculated total energy values read -3.4904 -8.4307 -3.3592 -6.3362 -4.5156 -9.1977 -4.0722 -4.6813 -5.9452 -6.9034 eV per atom.